# TlSbPb | the Alexandria database | GGA-PBE | relaxed
# raw formation energy: 0.0747 eV per atom
# E: -39.89 eV for the cell shown
# ΔE to the lowest computed polymorph: 0.32 eV per formula unit
# DOS at the Fermi energy: 0.36 states/eV per atom
data_TlSbPb
_symmetry_space_group_name_H-M 'F m m 2'
_symmetry_Int_Tables_number 42
_symmetry_space_group_name_Hall 'F 2 -2'
_cell_length_a 4.1049
_cell_length_b 5.4113
_cell_length_c 16.3973
_cell_angle_alpha 90.00
_cell_angle_beta 90.00
_cell_angle_gamma 90.00
loop_
_atom_site_label
_atom_site_type_symbol
_atom_site_fract_x
_atom_site_fract_y
_atom_site_fract_z
_atom_site_occupancy
Tl1 Tl 0.0000 0.0000 0.0000 1
Sb1 Sb 0.0000 0.0000 0.3379 1
Pb1 Pb 0.0000 0.0000 0.6781 1